Entry 1:
{"formula": "CaAg6Au2", "functional": "PBE", "state": "optimized geometry", "cell": [[-2.4976, 2.7963, 6.6622], [2.4976, -2.7963, 6.6622], [2.4976, 2.7963, -6.6622]], "species": ["Ca", "Ag", "Ag", "Ag", "Ag", "Ag", "Ag", "Au", "Au"], "frac_coords": [[0.0000, 0.0000, 0.0000], [0.0469, 0.2962, 0.7507], [0.2618, 0.5000, 0.7618], [0.4545, 0.7038, 0.7507], [0.5455, 0.2962, 0.2493], [0.7382, 0.5000, 0.2382], [0.9531, 0.7038, 0.2493], [0.3929, 0.8929, 0.5000], [0.6071, 0.1071, 0.5000]], "magmom_total_mub_per_cell": 0.0, "formation_enthalpy_0k_ev_per_atom": -0.03, "energy_ev_per_atom": -2.881, "dos_ef_per_ev_cell": 3.0}

---

Entry 2:
{"formula": "Ca3Ag5Au2", "functional": "PBE", "state": "optimized geometry", "cell": [[-4.3684, 5.9081, 4.7301], [4.3684, -5.9081, 4.7301], [4.3684, 5.9081, -4.7301]], "species": ["Ca", "Ca", "Ca", "Ca", "Ca", "Ca", "Ag", "Ag", "Ag", "Ag", "Ag", "Ag", "Ag", "Ag", "Ag", "Ag", "Au", "Au", "Au", "Au"], "frac_coords": [[0.1439, 0.7369, 0.8808], [0.2500, 0.2500, 0.0000], [0.3561, 0.2369, 0.5930], [0.6439, 0.7631, 0.4070], [0.7500, 0.7500, 0.0000], [0.8561, 0.2631, 0.1192], [0.0126, 0.7500, 0.2626], [0.1089, 0.3962, 0.5051], [0.2500, 0.7500, 0.5000], [0.3911, 0.8962, 0.2873], [0.4874, 0.7500, 0.7374], [0.5126, 0.2500, 0.2626], [0.6089, 0.1038, 0.7127], [0.7500, 0.2500, 0.5000], [0.8911, 0.6038, 0.4949], [0.9874, 0.2500, 0.7374], [0.1312, 0.0786, 0.2098], [0.3688, 0.5786, 0.9474], [0.6312, 0.4214, 0.0526], [0.8688, 0.9214, 0.7902]], "magmom_total_mub_per_cell": 0.0, "formation_enthalpy_0k_ev_per_atom": -0.27, "energy_ev_per_atom": -2.955, "dos_ef_per_ev_cell": 10.1}

---

Entry 3:
{"formula": "Ca3AgAu2", "functional": "PBE", "state": "optimized geometry", "cell": [[3.6938, 0.0000, 0.0000], [0.0000, 3.6938, 0.0000], [0.0000, 0.0000, 10.8112]], "species": ["Ca", "Ca", "Ca", "Ag", "Au", "Au"], "frac_coords": [[0.0000, 0.0000, 0.0000], [0.0000, 0.0000, 0.3269], [0.0000, 0.0000, 0.6731], [0.5000, 0.5000, 0.5000], [0.5000, 0.5000, 0.1663], [0.5000, 0.5000, 0.8337]], "e_above_lowest_polymorph_mev_per_atom": 2, "magmom_total_mub_per_cell": 0.0, "formation_enthalpy_0k_ev_per_atom": -0.63, "energy_ev_per_atom": -3.199, "dos_ef_per_ev_cell": 4.1}

---

Entry 4:
{"formula": "Ca4AgAu2", "functional": "PBE", "state": "optimized geometry", "cell": [[5.9479, -4.5988, 0.0000], [5.9479, 4.5988, 0.0000], [-2.6933, 0.0000, 7.4874]], "species": ["Ca", "Ca", "Ca", "Ca", "Ca", "Ca", "Ca", "Ca", "Ag", "Ag", "Au", "Au", "Au", "Au"], "frac_coords": [[0.0000, 0.0000, 0.0000], [0.0001, 0.0001, 0.4922], [0.4621, 0.9737, 0.3551], [0.4704, 0.9820, 0.8555], [0.4937, 0.4937, 0.4899], [0.4941, 0.4941, 0.9970], [0.9737, 0.4621, 0.3551], [0.9820, 0.4704, 0.8555], [0.7752, 0.7752, 0.1299], [0.7822, 0.7822, 0.6376], [0.1886, 0.6928, 0.2174], [0.2719, 0.2719, 0.1289], [0.2828, 0.2828, 0.6374], [0.6928, 0.1886, 0.2174]], "magmom_total_mub_per_cell": 0.0, "formation_enthalpy_0k_ev_per_atom": -0.56, "energy_ev_per_atom": -3.050, "dos_ef_per_ev_cell": 7.8}

---

Entry 5:
{"formula": "Ca6AgAu2", "functional": "PBE", "state": "optimized geometry", "cell": [[-4.8619, 5.0459, 5.6078], [4.8619, -5.0459, 5.6078], [4.8619, 5.0459, -5.6078]], "species": ["Ca", "Ca", "Ca", "Ca", "Ca", "Ca", "Ca", "Ca", "Ca", "Ca", "Ca", "Ca", "Ag", "Ag", "Au", "Au", "Au", "Au"], "frac_coords": [[0.0530, 0.2454, 0.8077], [0.1770, 0.2860, 0.4630], [0.1770, 0.7140, 0.8910], [0.3414, 0.0304, 0.6890], [0.3414, 0.6524, 0.3110], [0.4377, 0.2454, 0.1923], [0.5623, 0.7546, 0.8077], [0.6586, 0.3476, 0.6890], [0.6586, 0.9696, 0.3110], [0.8230, 0.2860, 0.1090], [0.8230, 0.7140, 0.5370], [0.9470, 0.7546, 0.1923], [0.0000, 0.0000, 0.0000], [0.5000, 0.5000, 0.0000], [0.1338, 0.6338, 0.5000], [0.3148, 0.0000, 0.3148], [0.6852, 0.0000, 0.6852], [0.8662, 0.3662, 0.5000]], "magmom_total_mub_per_cell": 0.0, "formation_enthalpy_0k_ev_per_atom": -0.47, "energy_ev_per_atom": -2.848, "dos_ef_per_ev_cell": 12.6}

---

Entry 6:
{"formula": "Ca2AgAu7", "functional": "PBE", "state": "optimized geometry", "cell": [[0.0000, 5.1427, 5.1427], [5.1427, 0.0000, 5.1427], [5.1427, 5.1427, 0.0000]], "species": ["Ca", "Ca", "Ag", "Au", "Au", "Au", "Au", "Au", "Au", "Au"], "frac_coords": [[0.2500, 0.2500, 0.2500], [0.7500, 0.7500, 0.7500], [0.0000, 0.0000, 0.0000], [0.2488, 0.2488, 0.7512], [0.2488, 0.7512, 0.2488], [0.2488, 0.7512, 0.7512], [0.5000, 0.5000, 0.5000], [0.7512, 0.2488, 0.2488], [0.7512, 0.2488, 0.7512], [0.7512, 0.7512, 0.2488]], "e_above_lowest_polymorph_mev_per_atom": 418, "magmom_total_mub_per_cell": 0.0, "formation_enthalpy_0k_ev_per_atom": 0.01, "energy_ev_per_atom": -2.970, "dos_ef_per_ev_cell": 1.5}

---

Entry 7:
{"formula": "CaAg5Au2", "functional": "PBE", "state": "optimized geometry", "cell": [[-2.0937, 4.1184, 4.9280], [2.0937, -4.1184, 4.9280], [2.0937, 4.1184, -4.9280]], "species": ["Ca", "Ag", "Ag", "Ag", "Ag", "Ag", "Au", "Au"], "frac_coords": [[0.0000, 0.0000, 0.0000], [0.1742, 0.3523, 0.8219], [0.4696, 0.6477, 0.8219], [0.5000, 0.0000, 0.5000], [0.5304, 0.3523, 0.1781], [0.8258, 0.6477, 0.1781], [0.2163, 0.7163, 0.5000], [0.7837, 0.2837, 0.5000]], "magmom_total_mub_per_cell": 0.0, "formation_enthalpy_0k_ev_per_atom": -0.14, "energy_ev_per_atom": -2.992, "dos_ef_per_ev_cell": 2.3}

---

Entry 8:
{"formula": "CaAg5Au7", "functional": "PBE", "state": "optimized geometry", "cell": [[-2.8094, 4.7731, 4.7458], [2.8094, -4.7731, 4.7458], [2.8094, 4.7731, -4.7458]], "species": ["Ca", "Ag", "Ag", "Ag", "Ag", "Ag", "Au", "Au", "Au", "Au", "Au", "Au", "Au"], "frac_coords": [[0.0000, 0.0000, 0.0000], [0.4915, 0.4912, 0.4985], [0.4915, 0.9930, 0.0003], [0.7684, 0.2684, 0.5000], [0.9927, 0.4912, 0.9997], [0.9927, 0.9930, 0.5015], [0.2024, 0.4914, 0.7110], [0.2079, 0.7079, 0.5000], [0.3385, 0.9917, 0.3468], [0.3443, 0.3443, 0.0000], [0.6449, 0.9917, 0.6532], [0.6527, 0.6527, 0.0000], [0.7804, 0.4914, 0.2890]], "magmom_total_mub_per_cell": 0.0, "formation_enthalpy_0k_ev_per_atom": -0.14, "energy_ev_per_atom": -3.152, "dos_ef_per_ev_cell": 2.8}

---

Entry 9:
{"formula": "Ca2AgAu", "functional": "PBE", "state": "optimized geometry", "cell": [[0.0000, 3.6696, 3.6696], [3.6696, 0.0000, 3.6696], [3.6696, 3.6696, 0.0000]], "species": ["Ca", "Ca", "Ag", "Au"], "frac_coords": [[0.2500, 0.2500, 0.2500], [0.7500, 0.7500, 0.7500], [0.0000, 0.0000, 0.0000], [0.5000, 0.5000, 0.5000]], "e_above_lowest_polymorph_mev_per_atom": 19, "magmom_total_mub_per_cell": 0.0, "formation_enthalpy_0k_ev_per_atom": -0.55, "energy_ev_per_atom": -3.087, "dos_ef_per_ev_cell": 3.2}

---

Entry 10:
{"formula": "Ca2AgAu", "functional": "PBE", "state": "optimized geometry", "cell": [[0.0000, 3.5955, 3.5955], [3.5955, 0.0000, 3.5955], [3.5955, 3.5955, 0.0000]], "species": ["Ca", "Ca", "Ag", "Au"], "frac_coords": [[0.0000, 0.0000, 0.0000], [0.2500, 0.2500, 0.2500], [0.5000, 0.5000, 0.5000], [0.7500, 0.7500, 0.7500]], "e_above_lowest_polymorph_mev_per_atom": 267, "magmom_total_mub_per_cell": 0.0, "formation_enthalpy_0k_ev_per_atom": -0.31, "energy_ev_per_atom": -2.839, "dos_ef_per_ev_cell": 4.2}

---

Entry 11:
{"formula": "CaAg4Au8", "functional": "PBE", "state": "optimized geometry", "cell": [[-4.7703, 4.7703, 2.7944], [4.7703, -4.7703, 2.7944], [4.7703, 4.7703, -2.7944]], "species": ["Ca", "Ag", "Ag", "Ag", "Ag", "Au", "Au", "Au", "Au", "Au", "Au", "Au", "Au"], "frac_coords": [[0.0000, 0.0000, 0.0000], [0.0000, 0.0000, 0.5000], [0.0000, 0.5000, 0.0000], [0.5000, 0.0000, 0.0000], [0.5000, 0.5000, 0.5000], [0.0000, 0.3474, 0.3474], [0.0000, 0.6526, 0.6526], [0.2852, 0.5000, 0.7852], [0.3474, 0.0000, 0.3474], [0.5000, 0.2852, 0.7852], [0.5000, 0.7148, 0.2148], [0.6526, 0.0000, 0.6526], [0.7148, 0.5000, 0.2148]], "magmom_total_mub_per_cell": 0.0, "formation_enthalpy_0k_ev_per_atom": -0.15, "energy_ev_per_atom": -3.194, "dos_ef_per_ev_cell": 3.4}

---

Entry 12:
{"formula": "Ca3Ag2Au3", "functional": "PBE", "state": "optimized geometry", "cell": [[8.7111, 0.0000, 0.0000], [-4.3556, 7.5441, 0.0000], [0.0000, 0.0000, 5.8937]], "species": ["Ca", "Ca", "Ca", "Ca", "Ca", "Ca", "Ag", "Ag", "Ag", "Ag", "Au", "Au", "Au", "Au", "Au", "Au"], "frac_coords": [[0.0000, 0.2865, 0.2500], [0.0000, 0.7135, 0.7500], [0.2865, 0.0000, 0.2500], [0.2865, 0.2865, 0.7500], [0.7135, 0.0000, 0.7500], [0.7135, 0.7135, 0.2500], [0.3333, 0.6667, 0.0000], [0.3333, 0.6667, 0.5000], [0.6667, 0.3333, 0.0000], [0.6667, 0.3333, 0.5000], [0.0000, 0.3780, 0.7500], [0.0000, 0.6220, 0.2500], [0.3780, 0.0000, 0.7500], [0.3780, 0.3780, 0.2500], [0.6220, 0.0000, 0.2500], [0.6220, 0.6220, 0.7500]], "e_above_lowest_polymorph_mev_per_atom": 38, "magmom_total_mub_per_cell": 0.0, "formation_enthalpy_0k_ev_per_atom": -0.54, "energy_ev_per_atom": -3.231, "dos_ef_per_ev_cell": 8.2}